1.
# TaAs2

An optimized crystal structure of TaAs2 (PBE, Alexandria).

Results
space-group type: No. 164
total magnetic moment: 0.0 μB/cell
calculated volume: 57.5 Å³ per cell
DFT formation energy: -56 kJ/mol of formula units

abc: 3.3215 3.3215 6.0170
angles: 90.00 90.00 120.00
With the nearest neighbours (Å) after each atom.
Fractional coordinates of all 3 atoms:
Ta: 0.0000 0.0000 0.0000  6 As 2.63
As: 0.3333 0.6667 0.2997  3 Ta 2.63
As: 0.6667 0.3333 0.7003  3 Ta 2.63



2.
# Ta3As

An optimized crystal structure of Ta3As (PBE, Alexandria).

Results
space-group type: No. 62
total magnetic moment: 0.0 μB/cell
calculated volume: 283.3 Å³ per cell
DFT formation energy: -78 kJ/mol of formula units

abc: 6.6115 8.2065 5.2216
angles: 90.00 90.00 90.00
With the nearest neighbours (Å) after each atom.
Fractional coordinates of all 16 atoms:
Ta: 0.0065 0.2500 0.0941  3 As 2.65-2.81
Ta: 0.1818 0.0478 0.6419  3 As 2.58-2.74, 2 Ta 2.87
Ta: 0.1818 0.4522 0.6419  3 As 2.58-2.74, 2 Ta 2.87
Ta: 0.3182 0.5478 0.1419  3 As 2.58-2.74, 2 Ta 2.87
Ta: 0.3182 0.9522 0.1419  3 As 2.58-2.74, 2 Ta 2.87
Ta: 0.4935 0.7500 0.5941  3 As 2.65-2.81
Ta: 0.5065 0.2500 0.4059  3 As 2.65-2.81
Ta: 0.6818 0.0478 0.8581  3 As 2.58-2.74, 2 Ta 2.87
Ta: 0.6818 0.4522 0.8581  3 As 2.58-2.74, 2 Ta 2.87
Ta: 0.8182 0.5478 0.3581  3 As 2.58-2.74, 2 Ta 2.87
Ta: 0.8182 0.9522 0.3581  3 As 2.58-2.74, 2 Ta 2.87
Ta: 0.9935 0.7500 0.9059  3 As 2.65-2.81
As: 0.1129 0.7500 0.4224  9 Ta 2.58-2.81
As: 0.3871 0.2500 0.9224  9 Ta 2.58-2.81
As: 0.6129 0.7500 0.0776  9 Ta 2.58-2.81
As: 0.8871 0.2500 0.5776  9 Ta 2.58-2.81



calculated volume of number 1 (TaAs2)?
57.5 Å³ per cell